a.
# Sn2BiAs2

A geometry-optimized Sn2BiAs2 structure (PBE, the Alexandria database).

Cell lengths 8.1280, 8.1280, 3.9133 Å; angles 90.00, 90.00, 90.00 degrees
Closest atoms and distances in Å follow each position.
Space group P4/mbm (No. 127)
Inequivalent atoms, fractional coordinates:
1 Sn 0.1485 0.3515 0.0000  6 As 2.96-3.17
2 Bi 0.0000 0.0000 0.5000  4 As 3.06
3 As 0.1580 0.6580 0.5000  6 Sn 2.96-3.17, 2 Bi 3.06

The value obtained for the density of states at the Fermi level is 0.426 states/eV/atom. The calculation puts the magnetization at 0.00 μB per atom.

---

b.
# Sn2BiAs2

A geometry-optimized Sn2BiAs2 structure (PBE, the Alexandria database).

Cell lengths 4.7490, 4.7490, 12.1935 Å; angles 90.00, 90.00, 90.00 degrees
Closest atoms and distances in Å follow each position.
Space group I4/mmm (No. 139)
Inequivalent atoms, fractional coordinates:
1 Sn 0.0000 0.5000 0.2500  4 As 2.94
2 Bi 0.0000 0.0000 0.0000  8 As 3.61, 8 Sn 3.86
3 As 0.0000 0.0000 0.3919  1 As 2.64, 4 Sn 2.94

The value obtained for the density of states at the Fermi level is 0.688 states/eV/atom. The calculation puts the magnetization at 0.00 μB per atom.

---

What should be chosen as the most stable of them? Choose a.

---

a.
# SnBi2As

A geometry-optimized SnBi2As structure (PBE, the Alexandria database).

Cell lengths 6.4793, 6.4793, 15.1020 Å; angles 90.00, 90.00, 90.00 degrees
Closest atoms and distances in Å follow each position.
Space group I-42d (No. 122)
Inequivalent atoms, fractional coordinates:
1 Sn 0.0000 0.0000 0.0000  4 Bi 3.06
2 Bi 0.2251 0.2500 0.6250  2 As 2.88, 2 Sn 3.06
3 As 0.0000 0.0000 0.5000  4 Bi 2.88

The value obtained for the density of states at the Fermi level is 0.556 states/eV/atom. The calculation puts the magnetization at 0.00 μB per atom.

---

b.
# SnBi2As

A geometry-optimized SnBi2As structure (PBE, the Alexandria database).

Cell lengths 4.3226, 4.3226, 22.1191 Å; angles 90.00, 90.00, 120.00 degrees
Closest atoms and distances in Å follow each position.
Space group R-3m (No. 166, hexagonal axes)
Inequivalent atoms, fractional coordinates:
1 Sn 0.0000 0.0000 0.0000  6 Bi 3.18
2 Bi 0.0000 0.0000 0.2444  3 As 3.03, 3 Sn 3.18
3 As 0.0000 0.0000 0.5000  6 Bi 3.03

The value obtained for the density of states at the Fermi level is 0.521 states/eV/atom. The calculation puts the magnetization at 0.00 μB per atom.

---

c.
# SnBi2As

A geometry-optimized SnBi2As structure (PBE, the Alexandria database).

Cell lengths 4.1554, 4.1554, 24.8574 Å; angles 90.00, 90.00, 120.00 degrees
Closest atoms and distances in Å follow each position.
Space group R3m (No. 160, hexagonal axes)
Inequivalent atoms, fractional coordinates:
1 Sn 0.0000 0.0000 0.0000  3 Bi 3.06
2 Bi 0.0000 0.0000 0.2569  3 Sn 3.06, 3 As 3.31
3 Bi 0.0000 0.0000 0.4355  3 As 2.87
4 As 0.0000 0.0000 0.8320  3 Bi 2.87

The value obtained for the density of states at the Fermi level is 0.478 states/eV/atom. The calculation puts the magnetization at 0.00 μB per atom.

---

What should be chosen as the most stable of them? Choose b.